## Sm7HgRh4 (PBE-GGA)

Data for a geometry-optimized Sm7HgRh4 structure.

a b c (Å): 7.4062 7.4062 9.7406
angles (deg): 121.96 121.96 44.89
Last column: nearest neighbours and their distance in Å.
Sites, in units of the cell vectors:
Sm 0.0000 0.0000 0.0000  4 Rh 2.79-2.86, 2 Hg 2.83
Sm 0.1750 0.1750 0.6237  1 Rh 2.65
Sm 0.2930 0.2930 0.1184  4 Rh 2.98-3.24, 1 Sm 3.21
Sm 0.4222 0.4222 0.6268  1 Rh 2.67
Sm 0.5778 0.5778 0.3732  1 Rh 2.67
Sm 0.7070 0.7070 0.8816  4 Rh 2.98-3.24, 1 Sm 3.21
Sm 0.8250 0.8250 0.3763  1 Rh 2.65
Hg 0.5000 0.5000 0.0000  4 Sm 2.83-3.15
Rh 0.0660 0.0660 0.7769  2 Sm 2.65-2.79
Rh 0.2043 0.2043 0.3407  2 Sm 2.67-2.86
Rh 0.7957 0.7957 0.6593  2 Sm 2.67-2.86
Rh 0.9340 0.9340 0.2231  2 Sm 2.65-2.79

## Properties
SG: C2/m (12)
formation energy: -0.419 eV per atom
energy: -5.65 eV/atom